[1]
# NaAcZnAu

A geometry-optimized NaAcZnAu structure (PBE, the Alexandria database).

Output
**Energy of formation**: -0.34 eV/atom
**N(E_F)**: 2.773 states/eV/f.u.
**Calculated density**: 8.07 Mg/m³
**Volume**: 26.35 Å³/atom

The structure in extended XYZ format:
```
16
Lattice="7.499 0.000 0.000 0.000 7.499 0.000 0.000 0.000 7.499" Properties=species:S:1:pos:R:3 pbc="T T T"
Na 0.000 0.000 0.000
Na 0.000 3.749 3.749
Na 3.749 0.000 3.749
Na 3.749 3.749 0.000
Ac 0.000 0.000 3.749
Ac 0.000 3.749 0.000
Ac 3.749 0.000 0.000
Ac 3.749 3.749 3.749
Zn 1.875 1.875 5.624
Zn 1.875 5.624 1.875
Zn 5.624 1.875 1.875
Zn 5.624 5.624 5.624
Au 1.875 1.875 1.875
Au 1.875 5.624 5.624
Au 5.624 1.875 5.624
Au 5.624 5.624 1.875
```



[2]
# Li2Al8Ni

A geometry-optimized Li2Al8Ni structure (PBE, the Alexandria database).

Output
**Energy of formation**: -0.21 eV/atom
**N(E_F)**: 3.007 states/eV/f.u.
**Calculated density**: 2.72 Mg/m³
**Volume**: 15.98 Å³/atom

The structure in extended XYZ format:
```
11
Lattice="4.061 0.000 0.000 0.000 4.061 0.000 0.000 0.000 10.663" Properties=species:S:1:pos:R:3 pbc="T T T"
Li 0.000 0.000 2.009
Li 0.000 0.000 8.654
Al 0.000 2.030 0.000
Al 0.000 2.030 3.966
Al 0.000 2.030 6.697
Al 2.030 0.000 0.000
Al 2.030 0.000 3.966
Al 2.030 0.000 6.697
Al 2.030 2.030 2.026
Al 2.030 2.030 8.637
Ni 0.000 0.000 5.331
```



[3]
# Ac4CdPd2

A geometry-optimized Ac4CdPd2 structure (PBE, the Alexandria database).

Output
**Energy of formation**: -0.49 eV/atom
**N(E_F)**: 6.837 states/eV/f.u.
**Calculated density**: 8.84 Mg/m³
**Volume**: 33.10 Å³/atom

The structure in extended XYZ format:
```
14
Lattice="7.672 0.000 0.000 -1.911 7.432 0.000 -2.881 -3.716 8.129" Properties=species:S:1:pos:R:3 pbc="T T T"
Ac 0.000 0.000 0.000
Ac -3.168 5.432 4.056
Ac -2.215 1.718 5.887
Ac 1.617 3.534 1.095
Ac 0.805 4.164 4.793
Ac 1.758 0.447 5.158
Ac 3.834 0.002 1.822
Ac 5.453 3.531 0.720
Cd -0.682 1.413 2.942
Cd 0.269 -2.306 7.005
Pd -0.489 5.633 2.311
Pd 0.465 1.922 7.636
Pd 3.364 2.646 3.572
Pd 4.325 -1.070 6.375
```



[4]
# PmScGe2Rh5

A geometry-optimized PmScGe2Rh5 structure (PBE, the Alexandria database).

Output
**Energy of formation**: -0.55 eV/atom
**N(E_F)**: 5.676 states/eV/f.u.
**Calculated density**: 8.90 Mg/m³
**Volume**: 17.62 Å³/atom

The structure in extended XYZ format:
```
9
Lattice="4.608 0.000 0.000 0.000 4.608 0.000 0.000 0.000 7.468" Properties=species:S:1:pos:R:3 pbc="T T T"
Pm 0.000 0.000 0.000
Sc 0.000 0.000 3.734
Ge 2.304 2.304 2.498
Ge 2.304 2.304 4.969
Rh 0.000 2.304 1.996
Rh 0.000 2.304 5.472
Rh 2.304 0.000 1.996
Rh 2.304 0.000 5.472
Rh 2.304 2.304 0.000
```



[5]
# SrRu2Cl

A geometry-optimized SrRu2Cl structure (PBE, the Alexandria database).

Output
**E_form (uncorrected)**: 0.188 eV/atom
**N(E_F)**: 3.935 states/eV/f.u.
**Polymorph energy (0 for the lowest one)**: 0.2952 eV per atom
**Calculated density**: 6.20 Mg/m³
**Volume**: 21.78 Å³/atom

The structure in extended XYZ format:
```
4
Lattice="3.695 0.000 0.000 0.000 3.750 0.000 -0.018 0.000 6.289" Properties=species:S:1:pos:R:3 pbc="T T T"
Sr 0.000 0.000 0.000
Ru -0.009 1.875 3.144
Ru 1.839 0.000 3.144
Cl 1.847 1.875 0.000
```



[6]
# Bi2RhS2

A geometry-optimized Bi2RhS2 structure (PBE, the Alexandria database).

Output
**E_form (uncorrected)**: -0.016 eV/atom
**N(E_F)**: 3.236 states/eV/f.u.
**Polymorph energy (0 for the lowest one)**: 0.1245 eV per atom
**Calculated density**: 8.30 Mg/m³
**Volume**: 23.40 Å³/atom

The structure in extended XYZ format:
```
10
Lattice="6.493 0.000 0.000 0.000 6.493 0.000 0.000 0.000 5.551" Properties=species:S:1:pos:R:3 pbc="T T T"
Bi 1.234 2.013 0.000
Bi 2.013 5.259 0.000
Bi 4.480 1.234 0.000
Bi 5.259 4.480 0.000
Rh 0.000 0.000 2.776
Rh 3.246 3.246 2.776
S 1.142 2.104 2.776
S 2.104 5.351 2.776
S 4.389 1.142 2.776
S 5.351 4.389 2.776
```



[7]
# HoTaO4

A geometry-optimized HoTaO4 structure (PBE, the Alexandria database).

Output
**E_form (uncorrected)**: -3.214 eV/atom
**N(E_F)**: 0.000 states/eV/f.u.
**Calculated density**: 8.52 Mg/m³
**Volume**: 13.31 Å³/atom

The structure in extended XYZ format:
```
12
Lattice="5.890 0.000 0.000 0.000 4.985 0.000 -2.064 0.000 5.441" Properties=species:S:1:pos:R:3 pbc="T T T"
Ho 0.000 0.000 0.000
Ho -1.032 2.492 2.721
Ta 1.913 0.000 2.721
Ta 2.945 2.492 0.000
O 0.252 0.805 2.067
O -0.780 1.687 4.787
O 0.815 3.553 3.709
O 1.847 3.924 0.988
O 1.979 1.061 4.453
O 3.011 1.432 1.733
O 4.606 3.298 0.654
O 3.574 4.179 3.375
```



[8]
# CeErTmZr

A geometry-optimized CeErTmZr structure (PBE, the Alexandria database).

Output
**Energy of formation**: 0.21 eV/atom
**N(E_F)**: 9.500 states/eV/f.u.
**Calculated density**: 8.32 Mg/m³
**Volume**: 28.32 Å³/atom

The structure in extended XYZ format:
```
16
Lattice="7.681 0.000 0.000 0.000 7.681 0.000 0.000 0.000 7.681" Properties=species:S:1:pos:R:3 pbc="T T T"
Ce 0.000 0.000 0.000
Ce 0.000 3.840 3.840
Ce 3.840 0.000 3.840
Ce 3.840 3.840 0.000
Er 0.000 0.000 3.840
Er 0.000 3.840 0.000
Er 3.840 0.000 0.000
Er 3.840 3.840 3.840
Tm 1.920 1.920 5.761
Tm 1.920 5.761 1.920
Tm 5.761 1.920 1.920
Tm 5.761 5.761 5.761
Zr 1.920 1.920 1.920
Zr 1.920 5.761 5.761
Zr 5.761 1.920 5.761
Zr 5.761 5.761 1.920
```



[9]
# Tm6AlIn2

A geometry-optimized Tm6AlIn2 structure (PBE, the Alexandria database).

Output
**Energy of formation**: -0.06 eV/atom
**N(E_F)**: 11.024 states/eV/f.u.
**Calculated density**: 7.62 Mg/m³
**Volume**: 30.77 Å³/atom

The structure in extended XYZ format:
```
9
Lattice="-2.535 3.590 7.608 2.535 -3.590 7.608 2.535 3.590 -7.608" Properties=species:S:1:pos:R:3 pbc="T T T"
Tm 2.535 1.763 -2.483
Tm 0.000 1.730 0.000
Tm 2.535 1.763 2.483
Tm 0.000 1.826 5.125
Tm 0.000 5.449 0.000
Tm 0.000 1.826 10.092
Al 2.535 0.000 0.000
In 2.535 0.000 5.075
In 0.000 3.590 2.534
```



[10]
# SrZnGaCu2

A geometry-optimized SrZnGaCu2 structure (PBE, the Alexandria database).

Output
**Energy of formation**: -0.19 eV/atom
**N(E_F)**: 2.292 states/eV/f.u.
**Calculated density**: 5.98 Mg/m³
**Volume**: 19.42 Å³/atom

The structure in extended XYZ format:
```
10
Lattice="4.226 0.000 0.000 0.000 4.380 0.000 0.000 0.000 10.491" Properties=species:S:1:pos:R:3 pbc="T T T"
Sr 0.000 0.000 0.000
Sr 2.113 2.190 5.245
Zn 0.000 0.000 6.519
Zn 2.113 2.190 1.274
Ga 0.000 2.190 7.918
Ga 2.113 0.000 2.672
Cu 0.000 0.000 3.965
Cu 0.000 2.190 2.691
Cu 2.113 0.000 7.936
Cu 2.113 2.190 9.210
```



[11]
# CoS2

A geometry-optimized CoS2 structure (PBE, the Alexandria database).

Output
**E_form (uncorrected)**: -0.244 eV/atom
**N(E_F)**: 2.266 states/eV/f.u.
**Calculated density**: 4.66 Mg/m³
**Volume**: 14.60 Å³/atom

The structure in extended XYZ format:
```
9
Lattice="5.711 0.000 0.000 -2.856 4.946 0.000 0.000 0.000 4.653" Properties=species:S:1:pos:R:3 pbc="T T T"
Co 0.000 0.000 0.000
Co 0.000 3.297 2.327
Co 2.856 1.649 2.327
S -1.008 1.746 1.094
S -1.848 3.200 3.559
S 2.016 0.000 1.094
S 1.008 1.746 3.559
S 3.695 0.000 3.559
S 1.848 3.200 1.094
```



[12]
# Zn2SbCl

A geometry-optimized Zn2SbCl structure (PBE, the Alexandria database).

Output
**E_form (uncorrected)**: -0.111 eV/atom
**N(E_F)**: 1.014 states/eV/f.u.
**Polymorph energy (0 for the lowest one)**: 0.2365 eV per atom
**Calculated density**: 5.12 Mg/m³
**Volume**: 23.34 Å³/atom

The structure in extended XYZ format:
```
8
Lattice="3.292 0.000 0.000 0.000 5.812 0.000 0.000 0.000 9.762" Properties=species:S:1:pos:R:3 pbc="T T T"
Zn 0.000 0.000 0.000
Zn 0.000 2.906 2.023
Zn 1.646 0.000 2.023
Zn 1.646 2.906 0.000
Sb 0.000 0.000 4.391
Sb 1.646 2.906 4.391
Cl 0.000 2.906 8.084
Cl 1.646 0.000 8.084
```



Number 1: energy -2.836 eV/atom. Number 2: energy -3.809 eV/atom. Number 3: energy -4.457 eV/atom. Number 4: energy -6.887 eV/atom. Number 5: energy -5.333 eV/atom. Number 6: energy -4.690 eV/atom. Number 7: energy -9.258 eV/atom. Number 8: energy -5.672 eV/atom. Number 9: energy -4.067 eV/atom. Number 10: energy -3.021 eV/atom. Number 11: energy -5.364 eV/atom. Number 12: energy -2.241 eV/atom.